Here is crystalline CeScS3 at its relaxed geometry from Alexandria via LeMat-Bulk. Energies are from GGA-PBEsol.

Cell lengths 6.3454, 7.1254, 9.3547 Å; angles 90.00, 90.00, 90.00 degrees
Closest atoms and distances in Å follow each position.
Fractional coordinates of all 20 atoms:
Ce 0.9583 0.8939 0.7500  6 S 2.76-2.94
Ce 0.4583 0.6061 0.2500  6 S 2.76-2.94
Ce 0.5417 0.3939 0.7500  6 S 2.76-2.94
Ce 0.0417 0.1061 0.2500  6 S 2.76-2.94
Sc 0.5000 0.0000 0.5000  6 S 2.51-2.56
Sc 0.0000 0.5000 0.5000  6 S 2.51-2.56
Sc 0.0000 0.5000 0.0000  6 S 2.51-2.56
Sc 0.5000 0.0000 0.0000  6 S 2.51-2.56
S 0.8294 0.1845 0.5625  2 Sc 2.54-2.56, 1 Ce 2.83
S 0.3293 0.3155 0.4375  2 Sc 2.54-2.56, 1 Ce 2.83
S 0.6706 0.6845 0.9375  2 Sc 2.54-2.56, 1 Ce 2.83
S 0.1706 0.8155 0.0625  2 Sc 2.54-2.56, 1 Ce 2.83
S 0.1706 0.8155 0.4375  2 Sc 2.54-2.56, 1 Ce 2.83
S 0.6706 0.6845 0.5625  2 Sc 2.54-2.56, 1 Ce 2.83
S 0.3293 0.3155 0.0625  2 Sc 2.54-2.56, 1 Ce 2.83
S 0.8294 0.1845 0.9375  2 Sc 2.54-2.56, 1 Ce 2.83
S 0.6355 0.9602 0.2500  2 Sc 2.51, 2 Ce 2.76-2.78
S 0.1355 0.5398 0.7500  2 Sc 2.51, 2 Ce 2.76-2.78
S 0.8645 0.4602 0.2500  2 Sc 2.51, 2 Ce 2.76-2.78
S 0.3645 0.0398 0.7500  2 Sc 2.51, 2 Ce 2.76-2.78

Summary:
The total energy comes out at -145.03 eV for the cell shown. As for the crystal system: orthorhombic. For the density of states at the Fermi level, the calculation gives 26.03 states/eV/cell. The calculation puts the total moment at 1.0 μB/f.u. The space group is Pnma.